Crystalline HoGaPt3 at its relaxed geometry, computed with GGA-PBE.

Computed properties:
- Formation energy from the elements: -893 meV/atom
- Excess energy over the best structure of this formula in the dataset: 0 meV/atom

a = 5.677 Å, b = 4.458 Å, c = 7.474 Å
α = 90.00°, β = 90.00°, γ = 90.00°
Space group Pmn2_1 (No. 31)
One atom of each set of equivalent atoms:
Ho 0.000 0.081 0.000 x2
Ga 0.000 0.329 0.579 x2
Pt 0.000 0.866 0.399 x2
Pt 0.246 0.626 0.787 x4